VASP calculation (PBE+U) on CaNi2O4 after structural relaxation.

electronic total energy = -5.250 eV/atom
M_tot = 2.00 μB/f.u.

Lattice parameters (Å, degrees): 5.849 11.018 5.042 90.00 90.00 90.00
Space group Pmmn (No. 59, origin choice 2)
Unique sites:
Ca (0.250, 0.250, 0.027)
Ca (0.250, 0.750, 0.345)
Ni (0.000, 0.000, 0.500)
Ni (0.250, 0.507, 0.995)
O (0.001, 0.105, 0.841)
O (0.250, 0.084, 0.312)
O (0.250, 0.591, 0.667)